No. 1
First-principles (PBE) data for ZnMoPt2 after structural relaxation, as listed in the Alexandria database.

Cell and atoms, written as CIF:
```
data_ZnMoPt2
_symmetry_space_group_name_H-M 'P 4/m m m'
_symmetry_Int_Tables_number 123
_symmetry_space_group_name_Hall '-P 4 2'
_cell_length_a 2.792
_cell_length_b 2.792
_cell_length_c 7.732
_cell_angle_alpha 90.00
_cell_angle_beta 90.00
_cell_angle_gamma 90.00
loop_
_atom_site_label
_atom_site_type_symbol
_atom_site_fract_x
_atom_site_fract_y
_atom_site_fract_z
_atom_site_occupancy
Zn1 Zn 0.000 0.000 0.000 1
Mo1 Mo 0.000 0.000 0.500 1
Pt1 Pt 0.500 0.500 0.246 1
```

Summary:
For the calculated formation energy, the calculation gives -0.4491 eV per atom. For the volume, the calculation gives 60 Å³ per cell.

=====

No. 2
First-principles (PBE) data for SrLi2CdAu4 after structural relaxation, as listed in the Alexandria database.

Cell and atoms, written as CIF:
```
data_SrLi2CdAu4
_symmetry_space_group_name_H-M 'R -3 m'
_symmetry_Int_Tables_number 166
_symmetry_space_group_name_Hall '-R 3 2"'
_cell_length_a 4.5552
_cell_length_b 4.5552
_cell_length_c 28.5853
_cell_angle_alpha 90.00
_cell_angle_beta 90.00
_cell_angle_gamma 120.00
loop_
_atom_site_label
_atom_site_type_symbol
_atom_site_fract_x
_atom_site_fract_y
_atom_site_fract_z
_atom_site_occupancy
Sr1 Sr 0.0000 0.0000 0.0000 1
Li1 Li 0.0000 0.0000 0.2333 1
Cd1 Cd 0.0000 0.0000 0.5000 1
Au1 Au 0.0000 0.0000 0.1193 1
Au2 Au 0.0000 0.0000 0.4004 1
```

Summary:
For the calculated formation energy, the calculation gives -0.4984 eV per atom. For the volume, the calculation gives 514 Å³ per cell.

=====

No. 3
First-principles (PBE) data for Ba2AsF after structural relaxation, as listed in the Alexandria database.

Cell and atoms, written as CIF:
```
data_Ba2AsF
_symmetry_space_group_name_H-M 'R 3 m'
_symmetry_Int_Tables_number 160
_symmetry_space_group_name_Hall 'R 3 -2"'
_cell_length_a 4.5217
_cell_length_b 4.5217
_cell_length_c 23.1596
_cell_angle_alpha 90.00
_cell_angle_beta 90.00
_cell_angle_gamma 120.00
loop_
_atom_site_label
_atom_site_type_symbol
_atom_site_fract_x
_atom_site_fract_y
_atom_site_fract_z
_atom_site_occupancy
Ba1 Ba 0.0000 0.0000 0.0000 1
Ba2 Ba 0.0000 0.0000 0.1742 1
As1 As 0.0000 0.0000 0.5817 1
F1 F 0.0000 0.0000 0.3924 1
```

Summary:
For the volume, the calculation gives 410 Å³ per cell. Its raw formation energy is -1.93 eV/atom. For the relative energy among the computed polymorphs, the calculation gives 106 meV per atom.

=====

No. 4
First-principles (PBE) data for BiSb3Au4 after structural relaxation, as listed in the Alexandria database.

Cell and atoms, written as CIF:
```
data_BiSb3Au4
_symmetry_space_group_name_H-M 'P m -3 m'
_symmetry_Int_Tables_number 221
_symmetry_space_group_name_Hall '-P 4 2 3'
_cell_length_a 5.800
_cell_length_b 5.800
_cell_length_c 5.800
_cell_angle_alpha 90.00
_cell_angle_beta 90.00
_cell_angle_gamma 90.00
loop_
_atom_site_label
_atom_site_type_symbol
_atom_site_fract_x
_atom_site_fract_y
_atom_site_fract_z
_atom_site_occupancy
Bi1 Bi 0.000 0.000 0.000 1
Sb1 Sb 0.000 0.500 0.500 1
Au1 Au 0.000 0.000 0.500 1
Au2 Au 0.500 0.500 0.500 1
```

Summary:
For the volume, the calculation gives 195 Å³ per cell. Its raw formation energy is -0.04 eV/atom.

=====

No. 5
First-principles (PBE) data for Cd2CuHg after structural relaxation, as listed in the Alexandria database.

Cell and atoms, written as CIF:
```
data_Cd2CuHg
_symmetry_space_group_name_H-M 'I m m 2'
_symmetry_Int_Tables_number 44
_cell_length_a 2.914
_cell_length_b 4.632
_cell_length_c 12.721
_cell_angle_alpha 90.00
_cell_angle_beta 90.00
_cell_angle_gamma 90.00
loop_
_symmetry_equiv_pos_as_xyz
'x,y,z'
'-x,-y,z'
'-x,y,z'
'x,-y,z'
'x+1/2,y+1/2,z+1/2'
'-x+1/2,-y+1/2,z+1/2'
'-x+1/2,y+1/2,z+1/2'
'x+1/2,-y+1/2,z+1/2'
loop_
_atom_site_label
_atom_site_type_symbol
_atom_site_fract_x
_atom_site_fract_y
_atom_site_fract_z
_atom_site_occupancy
Cd1 Cd 0.000 0.000 0.000 1
Cd2 Cd 0.000 0.500 0.187 1
Cu1 Cu 0.000 0.500 0.686 1
Hg1 Hg 0.000 0.000 0.377 1
```

Summary:
For the calculated formation energy, the calculation gives 0.0604 eV per atom. For the volume, the calculation gives 172 Å³ per cell.

=====

No. 6
First-principles (PBE) data for TaPb2 after structural relaxation, as listed in the Alexandria database.

Cell and atoms, written as CIF:
```
data_TaPb2
_symmetry_space_group_name_H-M 'C m c m'
_symmetry_Int_Tables_number 63
_symmetry_space_group_name_Hall '-C 2c 2'
_cell_length_a 3.144
_cell_length_b 18.562
_cell_length_c 5.299
_cell_angle_alpha 90.00
_cell_angle_beta 90.00
_cell_angle_gamma 90.00
loop_
_atom_site_label
_atom_site_type_symbol
_atom_site_fract_x
_atom_site_fract_y
_atom_site_fract_z
_atom_site_occupancy
Ta1 Ta 0.000 0.217 0.250 1
Pb1 Pb 0.000 0.142 0.750 1
Pb2 Pb 0.000 0.433 0.750 1
```

Summary:
For the calculated formation energy, the calculation gives 0.4512 eV per atom. For the volume, the calculation gives 309 Å³ per cell.

=====

No. 7
First-principles (PBE) data for TmGeP after structural relaxation, as listed in the Alexandria database.

Cell and atoms, written as CIF:
```
data_TmGeP
_symmetry_space_group_name_H-M 'R -3 m'
_symmetry_Int_Tables_number 166
_symmetry_space_group_name_Hall '-R 3 2"'
_cell_length_a 4.7208
_cell_length_b 4.7208
_cell_length_c 21.4477
_cell_angle_alpha 90.00
_cell_angle_beta 90.00
_cell_angle_gamma 120.00
loop_
_atom_site_label
_atom_site_type_symbol
_atom_site_fract_x
_atom_site_fract_y
_atom_site_fract_z
_atom_site_occupancy
Tm1 Tm 0.0000 0.0000 0.0943 1
Ge1 Ge 0.0000 0.0000 0.3333 1
P1 P 0.0000 0.0000 0.2224 1
```

Summary:
For the calculated formation energy, the calculation gives -0.7160 eV per atom. For the volume, the calculation gives 414 Å³ per cell.

=====

No. 8
First-principles (PBE) data for BaMg6SnO8 after structural relaxation, as listed in the Alexandria database.

Cell and atoms, written as CIF:
```
data_BaMg6SnO8
_symmetry_space_group_name_H-M 'P 4/m m m'
_symmetry_Int_Tables_number 123
_symmetry_space_group_name_Hall '-P 4 2'
_cell_length_a 4.760
_cell_length_b 4.760
_cell_length_c 9.262
_cell_angle_alpha 90.00
_cell_angle_beta 90.00
_cell_angle_gamma 90.00
loop_
_atom_site_label
_atom_site_type_symbol
_atom_site_fract_x
_atom_site_fract_y
_atom_site_fract_z
_atom_site_occupancy
Ba1 Ba 0.000 0.000 0.000 1
Mg1 Mg 0.000 0.500 0.260 1
Mg2 Mg 0.500 0.500 0.000 1
Mg3 Mg 0.500 0.500 0.500 1
Sn1 Sn 0.000 0.000 0.500 1
O1 O 0.000 0.000 0.266 1
O2 O 0.000 0.500 0.000 1
O3 O 0.000 0.500 0.500 1
O4 O 0.500 0.500 0.258 1
```

Summary:
For the volume, the calculation gives 210 Å³ per cell. Its raw formation energy is -1.97 eV/atom. For the relative energy among the computed polymorphs, the calculation gives 115 meV per atom.